# 1
Compound: NdDyGe
Source: Alexandria via LeMat-Bulk
Functional: PBE-GGA
Structure: relaxed

Cell lengths 8.1826, 8.1826, 8.1826 Å; angles 60.00, 60.00, 60.00 degrees
Closest atoms and distances in Å follow each position.
Atoms (fractional coordinates):
Ge 0.3688 0.8771 0.8771  3 Dy 2.87, 3 Nd 2.93
Ge 0.8771 0.8771 0.8771  3 Dy 2.87, 3 Nd 2.93
Ge 0.8771 0.3688 0.8771  3 Dy 2.87, 3 Nd 2.93
Ge 0.8771 0.8771 0.3688  3 Dy 2.87, 3 Nd 2.93
Nd 0.6240 0.1280 0.6240  3 Ge 2.93
Nd 0.1280 0.6240 0.6240  3 Ge 2.93
Nd 0.6240 0.6240 0.1280  3 Ge 2.93
Nd 0.6240 0.6240 0.6240  3 Ge 2.93
Dy 0.6260 0.1247 0.1247  3 Ge 2.87
Dy 0.1247 0.6260 0.1247  3 Ge 2.87
Dy 0.1247 0.1247 0.1247  3 Ge 2.87
Dy 0.1247 0.1247 0.6260  3 Ge 2.87

Computed properties:
- density of states at the Fermi level (states/eV/cell) = 10.09
- uncorrected energy (eV per atom) = -5.053
- space group = No. 216
- energy relative to the elements (eV per atom) = -0.39



# 2
Compound: NdDy2Ge
Source: Alexandria via LeMat-Bulk
Functional: PBE-GGA
Structure: relaxed

Cell lengths 4.7024, 4.7286, 4.7286 Å; angles 90.00, 90.00, 90.00 degrees
Closest atoms and distances in Å follow each position.
Atoms (fractional coordinates):
Ge 0.5000 0.5000 0.5000  8 Dy 3.33, 4 Nd 3.34
Nd 0.5000 0.0000 0.0000  8 Dy 3.33, 4 Ge 3.34
Dy 0.0000 0.0000 0.5000  4 Nd 3.33, 4 Ge 3.33, 4 Dy 3.34
Dy 0.0000 0.5000 0.0000  4 Ge 3.33, 4 Nd 3.33, 4 Dy 3.34

Computed properties:
- density of states at the Fermi level (states/eV/cell) = 5.07
- uncorrected energy (eV per atom) = -4.970
- space group = No. 123
- energy relative to the elements (eV per atom) = -0.32



# 3
Compound: Nd2Dy2Ge3
Source: Alexandria via LeMat-Bulk
Functional: PBE-GGA
Structure: relaxed

Cell lengths 4.1820, 6.9674, 7.7191 Å; angles 100.37, 89.97, 107.44 degrees
Closest atoms and distances in Å follow each position.
Atoms (fractional coordinates):
Nd 0.8701 0.7405 0.6405  4 Ge 2.96-2.99
Nd 0.1299 0.2595 0.3595  4 Ge 2.96-2.99
Dy 0.6324 0.2645 0.9036  5 Ge 2.91-3.00
Dy 0.3676 0.7355 0.0964  5 Ge 2.91-3.00
Ge 0.0000 0.0000 0.0000  4 Dy 2.92, 2 Nd 2.98
Ge 0.7665 0.5333 0.2619  3 Dy 2.91-3.00, 3 Nd 2.96-2.99
Ge 0.2335 0.4667 0.7381  3 Dy 2.91-3.00, 3 Nd 2.96-2.99

Computed properties:
- density of states at the Fermi level (states/eV/cell) = 3.90
- uncorrected energy (eV per atom) = -5.260
- space group = No. 12
- energy relative to the elements (eV per atom) = -0.60



# 4
Compound: Nd2DyGe
Source: Alexandria via LeMat-Bulk
Functional: PBE-GGA
Structure: relaxed

Cell lengths 3.6983, 3.6983, 11.2653 Å; angles 80.55, 80.55, 60.00 degrees
Closest atoms and distances in Å follow each position.
Atoms (fractional coordinates):
Ge 0.5000 0.5000 0.5000  6 Nd 2.96
Nd 0.1047 0.1047 0.6860  3 Ge 2.96
Nd 0.8953 0.8953 0.3140  3 Ge 2.96
Dy 0.0000 0.0000 0.0000  2 Nd 3.47, 6 Dy 3.70

Computed properties:
- density of states at the Fermi level (states/eV/cell) = 6.22
- uncorrected energy (eV per atom) = -4.686
- space group = No. 166
- energy relative to the elements (eV per atom) = 0.00